[1]
## VHgGeMo2 (PBE)

Data for a relaxed VHgGeMo2 crystal.

Output
DFT formation energy in eV per atom: 1.607
D(E_F) in states/eV/cell: 7.8
Magnetization in Bohr magnetons per cell: 1.296

a = 4.6727 Å, b = 4.6727 Å, c = 4.7415 Å
α = 90.00°, β = 90.00°, γ = 90.00°
Space group P4/mmm (No. 123)
Symmetry-distinct sites (fractional):
V1 0.0000 0.0000 0.0000 (multiplicity 1)
Hg1 0.5000 0.5000 0.0000 (multiplicity 1)
Ge1 0.5000 0.5000 0.5000 (multiplicity 1)
Mo1 0.0000 0.5000 0.5000 (multiplicity 2)

***

[2]
## HgGeN (PBE)

Data for a relaxed HgGeN crystal.

Output
ΔE_f (raw) in meV per atom: 150
D(E_F) in states/eV/cell: 5.5
Magnetization in Bohr magnetons per cell: 0.000

a = 5.6061 Å, b = 8.4846 Å, c = 5.0710 Å
α = 90.00°, β = 90.00°, γ = 90.00°
Space group Pca2_1 (No. 29)
Symmetry-distinct sites (fractional):
Hg1 0.0663 0.1008 0.0000 (multiplicity 4)
Ge1 0.0792 0.6000 0.5682 (multiplicity 4)
N1 0.1183 0.5581 0.9274 (multiplicity 4)

***

[3]
## HgGeN (PBE)

Data for a relaxed HgGeN crystal.

Output
ΔE_f (raw) in meV per atom: 269
D(E_F) in states/eV/cell: 2.5
Magnetization in Bohr magnetons per cell: 0.000

a = 12.9297 Å, b = 4.3030 Å, c = 5.5315 Å
α = 90.00°, β = 115.00°, γ = 90.00°
Space group Cm (No. 8)
Symmetry-distinct sites (fractional):
Hg1 0.0000 0.0000 0.0000 (multiplicity 2)
Hg2 0.1910 0.5000 0.1951 (multiplicity 2)
Ge1 0.1371 0.0000 0.6415 (multiplicity 2)
Ge2 0.2562 0.5000 0.7590 (multiplicity 2)
N1 0.4152 0.1306 0.4169 (multiplicity 4)

***

[4]
## HgGeN (PBE)

Data for a relaxed HgGeN crystal.

Output
ΔE_f (raw) in meV per atom: 219
D(E_F) in states/eV/cell: 1.1
Magnetization in Bohr magnetons per cell: 0.000

a = 3.0388 Å, b = 7.0077 Å, c = 7.4714 Å
α = 78.27°, β = 79.98°, γ = 80.59°
Space group P1 (No. 1)
Symmetry-distinct sites (fractional):
Hg1 0.0000 0.0000 0.0000 (multiplicity 1)
Hg2 0.9996 0.5003 0.4999 (multiplicity 1)
Ge1 0.1465 0.0983 0.6105 (multiplicity 1)
Ge2 0.8523 0.9024 0.3895 (multiplicity 1)
N1 0.5023 0.4401 0.0622 (multiplicity 1)
N2 0.5161 0.5605 0.9386 (multiplicity 1)

***

[5]
## HgGeN2 (PBE)

Data for a relaxed HgGeN2 crystal.

Output
ΔE_f (raw) in meV per atom: 1827
D(E_F) in states/eV/cell: 11.9
Magnetization in Bohr magnetons per cell: 7.740

a = 5.9801 Å, b = 5.9801 Å, c = 5.9801 Å
α = 90.00°, β = 90.00°, γ = 90.00°
Space group Fm-3m (No. 225)
Symmetry-distinct sites (fractional):
Hg1 0.0000 0.0000 0.0000 (multiplicity 4)
Ge1 0.0000 0.0000 0.5000 (multiplicity 4)
N1 0.2500 0.2500 0.2500 (multiplicity 8)

***

[6]
## HgGe3N (PBE)

Data for a relaxed HgGe3N crystal.

Output
ΔE_f (raw) in meV per atom: 653
D(E_F) in states/eV/cell: 4.1
Magnetization in Bohr magnetons per cell: 0.000

a = 4.4875 Å, b = 4.4875 Å, c = 4.4875 Å
α = 90.00°, β = 90.00°, γ = 90.00°
Space group Pm-3m (No. 221)
Symmetry-distinct sites (fractional):
Hg1 0.0000 0.0000 0.0000 (multiplicity 1)
Ge1 0.0000 0.5000 0.5000 (multiplicity 3)
N1 0.5000 0.5000 0.5000 (multiplicity 1)

***

[7]
## HgGeN2 (PBE)

Data for a relaxed HgGeN2 crystal.

Output
ΔE_f (raw) in meV per atom: 1179
D(E_F) in states/eV/cell: 2.4
Magnetization in Bohr magnetons per cell: 0.000

a = 3.8040 Å, b = 3.8040 Å, c = 17.0569 Å
α = 90.00°, β = 90.00°, γ = 120.00°
Space group R-3m (No. 166, hexagonal axes)
Symmetry-distinct sites (fractional):
Hg1 0.0000 0.0000 0.0000 (multiplicity 3)
Ge1 0.0000 0.0000 0.5000 (multiplicity 3)
N1 0.0000 0.0000 0.3992 (multiplicity 6)

***

[8]
## HgGeN (PBE)

Data for a relaxed HgGeN crystal.

Output
ΔE_f (raw) in meV per atom: 142
D(E_F) in states/eV/cell: 0.3
Magnetization in Bohr magnetons per cell: 0.000

a = 4.0526 Å, b = 6.4843 Å, c = 6.4958 Å
α = 80.17°, β = 76.05°, γ = 76.45°
Space group P-1 (No. 2)
Symmetry-distinct sites (fractional):
Hg1 0.0000 0.0000 0.0000 (multiplicity 1)
Hg2 0.0000 0.5000 0.5000 (multiplicity 1)
Ge1 0.1891 0.0788 0.5778 (multiplicity 2)
N1 0.4257 0.5217 0.9347 (multiplicity 2)

***

Question: Which formula does entry 1 have?
Answer: VHgGeMo2